Computed, not measured: an optimized crystal structure of ScWN2O at the PBE with a Hubbard U level of DFT.

a b c (Å): 3.990 3.990 3.871
angles (deg): 90.00 90.00 90.00
Fractional coordinates of all 5 atoms:
Sc1 0.000 0.000 0.000
W1 0.500 0.500 0.500
N1 0.000 0.500 0.500
N2 0.500 0.000 0.500
O1 0.500 0.500 0.000

Summary:
Total magnetic moment: 0.00 μB per formula unit
Fermi-level density of states: 0.3795 states/eV/atom
Crystal system: tetragonal
Calculated total energy: -7.860 eV per atom